Record 1
A plane-wave DFT calculation with PBE was carried out for a relaxed TmZn crystal.

a = 4.9853 Å, b = 6.5003 Å, c = 10.6629 Å
α = 90.00°, β = 90.00°, γ = 90.00°
Space group Pmmn (No. 59, origin choice 2)
Unique sites:
Tm1 0.2500 0.0100 0.0917 (multiplicity 4)
Tm2 0.2500 0.2500 0.3700 (multiplicity 2)
Tm3 0.2500 0.2500 0.7844 (multiplicity 2)
Zn1 0.2500 0.5316 0.5796 (multiplicity 4)
Zn2 0.2500 0.7500 0.3680 (multiplicity 2)
Zn3 0.2500 0.7500 0.8140 (multiplicity 2)

* ΔE_f: -155.7 meV per atom
* total DFT energy (no corrections): -48.41 eV per cell

***

Record 2
A plane-wave DFT calculation with PBE was carried out for a relaxed PmDyAs crystal.

a = 6.9043 Å, b = 6.9043 Å, c = 6.9043 Å
α = 90.00°, β = 90.00°, γ = 90.00°
Space group F-43m (No. 216)
Unique sites:
Pm1 0.0000 0.0000 0.0000 (multiplicity 4)
Dy1 0.0000 0.0000 0.5000 (multiplicity 4)
As1 0.2500 0.2500 0.7500 (multiplicity 4)

* total DFT energy (no corrections): -65.44 eV per cell

***

Record 3
A plane-wave DFT calculation with PBE was carried out for a relaxed HoAlOs crystal.

a = 6.4943 Å, b = 6.4943 Å, c = 6.4943 Å
α = 90.00°, β = 90.00°, γ = 90.00°
Space group F-43m (No. 216)
Unique sites:
Ho1 0.0000 0.0000 0.0000 (multiplicity 4)
Al1 0.2500 0.2500 0.7500 (multiplicity 4)
Os1 0.2500 0.2500 0.2500 (multiplicity 4)

* total DFT energy (no corrections): -68.66 eV per cell

***

Record 4
A plane-wave DFT calculation with PBE was carried out for a relaxed GdYLu6 crystal.

a = 7.0962 Å, b = 7.0962 Å, c = 5.5403 Å
α = 90.00°, β = 90.00°, γ = 120.00°
Space group P-6m2 (No. 187)
Unique sites:
Gd1 0.0000 0.0000 0.0000 (multiplicity 1)
Y1 0.3333 0.6667 0.5000 (multiplicity 1)
Lu1 0.3353 0.1676 0.5000 (multiplicity 3)
Lu2 0.5011 0.0021 0.0000 (multiplicity 3)

* ΔE_f: 0.8 meV per atom
* total DFT energy (no corrections): -38.26 eV per cell

***

Record 5
A plane-wave DFT calculation with PBE was carried out for a relaxed Pu2Se3S crystal.

a = 22.7977 Å, b = 3.9096 Å, c = 6.7798 Å
α = 90.00°, β = 90.01°, γ = 90.00°
Space group Cm (No. 8)
Unique sites:
Pu1 0.0000 0.0000 0.0000 (multiplicity 2)
Pu2 0.0002 0.5000 0.4899 (multiplicity 2)
Se1 0.0744 0.0000 0.6634 (multiplicity 2)
Se2 0.4222 0.0000 0.1612 (multiplicity 2)
Se3 0.4258 0.5000 0.6625 (multiplicity 2)
S1 0.0663 0.5000 0.1602 (multiplicity 2)

* total DFT energy (no corrections): -99.04 eV per cell

***

Record 6
A plane-wave DFT calculation with PBE was carried out for a relaxed YTlZnTe3 crystal.

a = 11.6214 Å, b = 4.3571 Å, c = 15.5093 Å
α = 90.00°, β = 90.00°, γ = 90.00°
Space group Pnma (No. 62)
Unique sites:
Y1 0.0151 0.2500 0.2460 (multiplicity 4)
Tl1 0.2277 0.7500 0.5059 (multiplicity 4)
Zn1 0.2389 0.2500 0.7148 (multiplicity 4)
Te1 0.0466 0.2500 0.6200 (multiplicity 4)
Te2 0.0769 0.7500 0.1126 (multiplicity 4)
Te3 0.2372 0.7500 0.8228 (multiplicity 4)

* total DFT energy (no corrections): -98.38 eV per cell

***

Record 7
A plane-wave DFT calculation with PBE was carried out for a relaxed Re3W2 crystal.

a = 9.6386 Å, b = 9.6386 Å, c = 5.0484 Å
α = 90.00°, β = 90.00°, γ = 90.00°
Space group P4_2/mnm (No. 136)
Unique sites:
Re1 0.0000 0.0000 0.0000 (multiplicity 2)
Re2 0.0356 0.3642 0.5000 (multiplicity 8)
Re3 0.1854 0.8146 0.2525 (multiplicity 8)
W1 0.0611 0.2628 0.0000 (multiplicity 8)
W2 0.1026 0.1026 0.5000 (multiplicity 4)

* ΔE_f: 118.4 meV per atom
* total DFT energy (no corrections): -375.58 eV per cell

***

Record 8
A plane-wave DFT calculation with PBE was carried out for a relaxed Co4SbAsC2 crystal.

a = 3.0338 Å, b = 3.0338 Å, c = 11.9167 Å
α = 90.00°, β = 90.00°, γ = 120.00°
Space group P-6m2 (No. 187)
Unique sites:
Co1 0.0000 0.0000 0.1499 (multiplicity 2)
Co2 0.3333 0.6667 0.2992 (multiplicity 2)
Sb1 0.0000 0.0000 0.5000 (multiplicity 1)
As1 0.3333 0.6667 0.0000 (multiplicity 1)
C1 0.6667 0.3333 0.2324 (multiplicity 2)

* total DFT energy (no corrections): -53.75 eV per cell

***

Record 9
A plane-wave DFT calculation with PBE was carried out for a relaxed HfCo3 crystal.

a = 5.2930 Å, b = 5.2930 Å, c = 4.2116 Å
α = 90.00°, β = 90.00°, γ = 120.00°
Space group P6_3/mmc (No. 194)
Unique sites:
Hf1 0.3333 0.6667 0.2500 (multiplicity 2)
Co1 0.1557 0.3115 0.7500 (multiplicity 6)

* ΔE_f: -202.8 meV per atom
* total DFT energy (no corrections): -64.17 eV per cell

***

Record 10
A plane-wave DFT calculation with PBE was carried out for a relaxed ZrBeCdPd crystal.

a = 6.4292 Å, b = 6.4292 Å, c = 6.4292 Å
α = 90.00°, β = 90.00°, γ = 90.00°
Space group F-43m (No. 216)
Unique sites:
Zr1 0.0000 0.0000 0.0000 (multiplicity 4)
Be1 0.2500 0.2500 0.2500 (multiplicity 4)
Cd1 0.2500 0.2500 0.7500 (multiplicity 4)
Pd1 0.0000 0.0000 0.5000 (multiplicity 4)

* total DFT energy (no corrections): -75.18 eV per cell

***

Record 11
A plane-wave DFT calculation with PBE was carried out for a relaxed ScAl2Tc crystal.

a = 6.3554 Å, b = 6.3554 Å, c = 6.3554 Å
α = 90.00°, β = 90.00°, γ = 90.00°
Space group F-43m (No. 216)
Unique sites:
Sc1 0.0000 0.0000 0.0000 (multiplicity 4)
Al1 0.0000 0.0000 0.5000 (multiplicity 4)
Al2 0.2500 0.2500 0.7500 (multiplicity 4)
Tc1 0.2500 0.2500 0.2500 (multiplicity 4)

* total DFT energy (no corrections): -100.97 eV per cell

***

Record 12
A plane-wave DFT calculation with PBE was carried out for a relaxed Na3Ag3Bi2 crystal.

a = 5.7611 Å, b = 5.7611 Å, c = 22.2455 Å
α = 90.00°, β = 90.00°, γ = 120.00°
Space group R-3m (No. 166, hexagonal axes)
Unique sites:
Na1 0.0000 0.0000 0.0000 (multiplicity 3)
Na2 0.0000 0.0000 0.4203 (multiplicity 6)
Ag1 0.0000 0.5000 0.5000 (multiplicity 9)
Bi1 0.0000 0.0000 0.2719 (multiplicity 6)

* total DFT energy (no corrections): -66.72 eV per cell

***

Record 13
A plane-wave DFT calculation with PBE was carried out for a relaxed Rb2ZnP4H8O16 crystal.

a = 6.8328 Å, b = 7.1939 Å, c = 7.5989 Å
α = 81.08°, β = 70.50°, γ = 85.71°
Space group P-1 (No. 2)
Unique sites:
Rb1 0.0910 0.2164 0.2932 (multiplicity 2)
Zn1 0.5000 0.0000 0.5000 (multiplicity 1)
P1 0.2281 0.3028 0.7616 (multiplicity 2)
P2 0.3477 0.7635 0.2352 (multiplicity 2)
H1 0.0939 0.7655 0.0693 (multiplicity 2)
H2 0.2612 0.5275 0.4605 (multiplicity 2)
H3 0.3834 0.6704 0.7047 (multiplicity 2)
H4 0.3845 0.8106 0.8514 (multiplicity 2)
O1 0.0333 0.3012 0.9417 (multiplicity 2)
O2 0.2287 0.1468 0.6498 (multiplicity 2)
O3 0.2529 0.5650 0.3215 (multiplicity 2)
O4 0.2642 0.4993 0.6485 (multiplicity 2)
O5 0.2714 0.8471 0.0732 (multiplicity 2)
O6 0.3071 0.8841 0.3905 (multiplicity 2)
O7 0.4056 0.2667 0.8634 (multiplicity 2)
O8 0.4547 0.7794 0.7211 (multiplicity 2)

* total DFT energy (no corrections): -185.13 eV per cell

***

Record 14
A plane-wave DFT calculation with PBE was carried out for a relaxed YCu crystal.

a = 7.0927 Å, b = 4.4758 Å, c = 5.4029 Å
α = 90.00°, β = 90.00°, γ = 90.00°
Space group Pnma (No. 62)
Unique sites:
Y1 0.1822 0.2500 0.1357 (multiplicity 4)
Cu1 0.0345 0.2500 0.6273 (multiplicity 4)

* ΔE_f: -259.1 meV per atom
* total DFT energy (no corrections): -42.80 eV per cell

***

Record 15
A plane-wave DFT calculation with PBE was carried out for a relaxed ErLuZnCo2 crystal.

a = 4.0215 Å, b = 5.4259 Å, c = 8.0405 Å
α = 90.00°, β = 90.00°, γ = 90.00°
Space group Imm2 (No. 44)
Unique sites:
Er1 0.0000 0.0000 0.0000 (multiplicity 2)
Lu1 0.0000 0.0000 0.5846 (multiplicity 2)
Zn1 0.0000 0.5000 0.7930 (multiplicity 2)
Co1 0.0000 0.2883 0.2914 (multiplicity 4)

* ΔE_f: -345.4 meV per atom
* total DFT energy (no corrections): -52.58 eV per cell

***

Record 16
A plane-wave DFT calculation with PBE was carried out for a relaxed Rb2Pd3PtSe6 crystal.

a = 7.4759 Å, b = 7.4759 Å, c = 20.5317 Å
α = 90.00°, β = 90.00°, γ = 120.00°
Space group R-3m (No. 166, hexagonal axes)
Unique sites:
Rb1 0.0000 0.0000 0.1984 (multiplicity 6)
Pd1 0.0000 0.5000 0.0000 (multiplicity 9)
Pt1 0.0000 0.0000 0.0000 (multiplicity 3)
Se1 0.0079 0.5040 0.2719 (multiplicity 18)

* total DFT energy (no corrections): -156.53 eV per cell

***

Record 17
A plane-wave DFT calculation with PBE was carried out for a relaxed LiAg2Pt3 crystal.

a = 2.7921 Å, b = 2.7921 Å, c = 13.9466 Å
α = 90.00°, β = 90.00°, γ = 120.00°
Space group P-3m1 (No. 164)
Unique sites:
Li1 0.0000 0.0000 0.0000 (multiplicity 1)
Ag1 0.3333 0.6667 0.6731 (multiplicity 2)
Pt1 0.0000 0.0000 0.5000 (multiplicity 1)
Pt2 0.3333 0.6667 0.1518 (multiplicity 2)

* total DFT energy (no corrections): -27.10 eV per cell

***

Record 18
A plane-wave DFT calculation with PBE was carried out for a relaxed Cs2ZrSi3O9 crystal.

a = 7.1814 Å, b = 7.1814 Å, c = 10.3307 Å
α = 90.00°, β = 90.00°, γ = 120.00°
Space group P6_3/m (No. 176)
Unique sites:
Cs1 0.3333 0.6667 0.0624 (multiplicity 4)
Zr1 0.0000 0.0000 0.0000 (multiplicity 2)
Si1 0.1430 0.3884 0.7500 (multiplicity 6)
O1 0.0442 0.2577 0.6174 (multiplicity 12)
O2 0.0916 0.5912 0.7500 (multiplicity 6)

* total DFT energy (no corrections): -226.33 eV per cell

***

Record 19
A plane-wave DFT calculation with PBE was carried out for a relaxed ScAsIrO crystal.

a = 3.9577 Å, b = 3.9577 Å, c = 7.6889 Å
α = 90.00°, β = 90.00°, γ = 90.00°
Space group P4/nmm (No. 129, origin choice 2)
Unique sites:
Sc1 0.2500 0.2500 0.1126 (multiplicity 2)
As1 0.2500 0.2500 0.6895 (multiplicity 2)
Ir1 0.2500 0.7500 0.5000 (multiplicity 2)
O1 0.2500 0.7500 0.0000 (multiplicity 2)

* total DFT energy (no corrections): -62.71 eV per cell

***

Record 20
A plane-wave DFT calculation with PBE was carried out for a relaxed ZrZn crystal.

a = 4.8608 Å, b = 6.0003 Å, c = 10.2315 Å
α = 90.00°, β = 90.00°, γ = 90.00°
Space group Pmmn (No. 59, origin choice 2)
Unique sites:
Zr1 0.2500 0.0028 0.0852 (multiplicity 4)
Zr2 0.2500 0.2500 0.3524 (multiplicity 2)
Zr3 0.2500 0.2500 0.8022 (multiplicity 2)
Zn1 0.2500 0.5165 0.5804 (multiplicity 4)
Zn2 0.2500 0.7500 0.3564 (multiplicity 2)
Zn3 0.2500 0.7500 0.8208 (multiplicity 2)

* ΔE_f: -135.8 meV per atom
* total DFT energy (no corrections): -80.67 eV per cell

***

Record 21
A plane-wave DFT calculation with PBE was carried out for a relaxed HfCl4 crystal.

a = 11.4130 Å, b = 12.1912 Å, c = 7.4614 Å
α = 90.00°, β = 90.00°, γ = 90.00°
Space group Fdd2 (No. 43)
Unique sites:
Hf1 0.0000 0.0000 0.0000 (multiplicity 8)
Cl1 0.1144 0.0871 0.2771 (multiplicity 16)
Cl2 0.1230 0.0861 0.8012 (multiplicity 16)

* total DFT energy (no corrections): -209.04 eV per cell